Entry 1:
# NaHf2Cu | Alexandria | PBE | relaxed
# **Symmetry**: Fm-3m, No. 225
# **Formation enthalpy at 0 K**: 0.55 eV/atom
# **DOS at the Fermi energy**: 4.6 states/eV/cell
# **Total energy**: -23.127 eV for the cell shown
data_NaHf2Cu
_space_group_name_H-M_alt 'P 1'
_space_group_IT_number 1
_cell_length_a 4.762
_cell_length_b 4.762
_cell_length_c 4.762
_cell_angle_alpha 60.00
_cell_angle_beta 60.00
_cell_angle_gamma 60.00
loop_
_space_group_symop_operation_xyz
'x,y,z'
loop_
_atom_site_label
_atom_site_fract_x
_atom_site_fract_y
_atom_site_fract_z
Cu1 0.500 0.500 0.500
Hf1 0.750 0.750 0.750
Hf2 0.250 0.250 0.250
Na1 0.000 0.000 0.000

***

Entry 2:
# NaHfCu | Alexandria | PBE | relaxed
# **Symmetry**: I4mm, No. 107
# **Formation enthalpy at 0 K**: 0.30 eV/atom
# **DOS at the Fermi energy**: 3.9 states/eV/cell
# **Total energy**: -28.941 eV for the cell shown
data_NaHfCu
_space_group_name_H-M_alt 'P 1'
_space_group_IT_number 1
_cell_length_a 3.077
_cell_length_b 3.077
_cell_length_c 13.521
_cell_angle_alpha 90.00
_cell_angle_beta 90.00
_cell_angle_gamma 90.00
loop_
_space_group_symop_operation_xyz
'x,y,z'
loop_
_atom_site_label
_atom_site_fract_x
_atom_site_fract_y
_atom_site_fract_z
Na1 0.500 0.500 0.148
Na2 0.000 0.000 0.648
Hf1 0.000 0.000 0.368
Hf2 0.500 0.500 0.868
Cu1 0.000 0.000 0.984
Cu2 0.500 0.500 0.484

***

Entry 3:
# NaHfCu | Alexandria | PBE | relaxed
# **Symmetry**: P4mm, No. 99
# **Formation enthalpy at 0 K**: 0.10 eV/atom
# **DOS at the Fermi energy**: 4.3 states/eV/cell
# **Total energy**: -30.114 eV for the cell shown
data_NaHfCu
_space_group_name_H-M_alt 'P 1'
_space_group_IT_number 1
_cell_length_a 3.210
_cell_length_b 3.210
_cell_length_c 12.699
_cell_angle_alpha 90.00
_cell_angle_beta 90.00
_cell_angle_gamma 90.00
loop_
_space_group_symop_operation_xyz
'x,y,z'
loop_
_atom_site_label
_atom_site_fract_x
_atom_site_fract_y
_atom_site_fract_z
Na1 0.000 0.000 0.027
Na2 0.500 0.500 0.270
Hf1 0.000 0.000 0.493
Hf2 0.500 0.500 0.650
Cu1 0.000 0.000 0.783
Cu2 0.500 0.500 0.869